K3LaU3Se8 | the Alexandria database | PBE | relaxed; raw formation energy = -1.38 eV per atom; symmetry = R-3m, No. 166; uncorrected energy = -90.59 eV per cell
1.0
8.501 0.000 0.000
-4.251 7.362 -0.029
0.000 -4.879 7.791
K La U Se
3 1 3 8
Cartesian
0.000 0.000 0.000
-2.125 3.681 -0.014
2.125 3.681 -0.014
0.000 -2.440 3.895
4.251 -2.440 3.895
2.125 1.241 3.881
-2.125 1.241 3.881
0.000 2.462 2.279
4.251 0.020 5.483
4.251 2.367 2.275
0.000 0.115 5.487
6.294 -1.172 2.289
-2.043 3.654 5.473
2.207 -1.172 2.289
2.043 3.654 5.473